[1]
Here is a relaxed structure of La3MgO from Alexandria. Energies are from PBE.

extended XYZ file:
```
20
Lattice="7.980 -5.727 0.000 7.980 5.727 0.000 -1.477 0.000 6.778" Properties=species:S:1:pos:R:3 pbc="T T T"
La 1.746 1.035 0.712
La 4.910 2.873 2.504
La 1.008 -1.035 4.100
La 3.786 0.622 6.139
La 4.525 -0.622 2.750
La 10.311 2.873 0.885
La 4.171 -2.873 5.893
La 9.957 0.622 4.028
La 10.696 -0.622 0.639
La 13.474 1.035 2.677
La 9.572 -2.873 4.274
La 12.736 -1.035 6.066
Mg 6.872 1.849 5.083
Mg 7.610 1.152 1.694
Mg 6.872 -1.152 5.083
Mg 7.610 -1.849 1.694
O 1.400 0.836 5.458
O 2.139 -0.836 2.069
O 12.343 0.836 4.709
O 13.082 -0.836 1.320
```

Computed properties:
Offset from the most stable computed form: 0.157 eV/atom
Magnetization: 0.00 μB per formula unit
Raw formation energy: -1050.7 meV/atom


[2]
Here is a relaxed structure of YReNi2 from Alexandria. Energies are from PBE.

extended XYZ file:
```
4
Lattice="2.793 0.000 0.000 0.000 3.595 0.000 -0.032 0.000 6.283" Properties=species:S:1:pos:R:3 pbc="T T T"
Y 0.000 0.000 0.000
Re -0.016 0.000 3.142
Ni 1.383 1.797 1.921
Ni 1.378 1.797 4.363
```

Computed properties:
Offset from the most stable computed form: 0.167 eV/atom
Energy relative to the elements: 0.0792 eV per atom
Magnetization: 0.00 μB per formula unit


[3]
Here is a relaxed structure of Na2MgAu3 from Alexandria. Energies are from PBE.

extended XYZ file:
```
6
Lattice="2.861 1.652 4.454 -2.861 1.652 4.454 0.000 -3.304 4.454" Properties=species:S:1:pos:R:3 pbc="T T T"
Na 0.000 0.000 1.613
Na 0.000 0.000 11.748
Mg 0.000 0.000 6.681
Au -1.431 -0.826 4.454
Au -1.431 0.826 8.908
Au 0.000 1.652 4.454
```

Computed properties:
Energy relative to the elements: -0.3980 eV per atom
Magnetization: 0.00 μB per formula unit


[4]
Here is a relaxed structure of Rb8Br6Cl from Alexandria. Energies are from PBE.

extended XYZ file:
```
15
Lattice="12.362 0.000 0.000 -6.181 10.706 0.000 0.000 0.000 5.284" Properties=species:S:1:pos:R:3 pbc="T T T"
Rb -4.056 7.684 1.394
Rb 1.555 3.351 1.394
Rb 3.679 0.329 3.890
Rb 0.000 7.137 3.946
Rb 6.181 3.569 1.339
Rb 2.502 10.377 1.394
Rb 4.626 7.355 3.890
Rb 10.237 3.022 3.890
Br -1.348 5.024 1.272
Br -1.156 9.361 1.272
Br 3.677 3.679 4.012
Br 2.504 7.026 1.272
Br 7.337 1.345 4.012
Br 7.529 5.682 4.012
Cl 0.000 0.000 2.642
```

Computed properties:
Magnetization: 0.00 μB per formula unit
Raw formation energy: -1522.3 meV/atom


[5]
Here is a relaxed structure of LaAlCd2Ir from Alexandria. Energies are from PBE.

extended XYZ file:
```
5
Lattice="5.275 0.000 0.000 0.000 5.275 0.000 0.000 0.000 5.295" Properties=species:S:1:pos:R:3 pbc="T T T"
La 0.000 0.000 0.000
Al 2.638 2.638 0.000
Cd 0.000 2.638 2.647
Cd 2.638 0.000 2.647
Ir 0.000 0.000 2.647
```

Computed properties:
Energy relative to the elements: 0.0388 eV per atom
Magnetization: 0.00 μB per formula unit


[6]
Here is a relaxed structure of La3CeSm2Te6 from Alexandria. Energies are from PBE.

extended XYZ file:
```
12
Lattice="9.848 -2.251 0.000 9.848 2.251 0.000 -2.079 0.000 8.852" Properties=species:S:1:pos:R:3 pbc="T T T"
La 0.000 0.000 0.000
La 5.199 0.000 5.904
La 12.419 0.000 2.948
Ce -1.039 0.000 4.426
Sm 6.216 0.000 1.480
Sm 11.402 0.000 7.371
Te 2.047 0.000 5.214
Te 3.163 0.000 0.690
Te 9.271 0.000 2.233
Te 8.347 0.000 6.619
Te 14.455 0.000 8.162
Te 15.571 0.000 3.637
```

Computed properties:
Magnetization: 1.33 μB per formula unit
Raw formation energy: -1489.2 meV/atom